Below is a relaxed structure of PuAu2Br8, with properties calculated at the PBE-GGA level.

The structure in POSCAR format:
```
PuAu2Br8
1.0
-4.3195 -1.0819 -5.7765
2.9498 -7.3255 0.0569
-4.2107 -4.5507 4.8916
Br Pu Au
8 1 2
direct
0.1710 0.1120 0.6776 Br
0.3291 0.6013 0.6013 Br
0.8290 0.3224 0.8880 Br
0.7174 0.8509 0.8509 Br
0.1710 0.6776 0.1120 Br
0.2826 0.1491 0.1491 Br
0.8290 0.8880 0.3224 Br
0.6709 0.3987 0.3987 Br
0.0000 0.0000 0.0000 Pu
0.2345 0.7743 0.7743 Au
0.7655 0.2257 0.2257 Au
```

## Properties
**M_tot**: 1.98 μB per formula unit
**Raw formation energy**: -586 kJ/mol of formula units
**Raw total energy**: -40.35 eV/cell
**Space-group type**: C2/m, No. 12
**Fermi-level density of states**: 11.6 states/eV/cell

=====

Below is a relaxed structure of AlSn2BiSe, with properties calculated at the PBE-GGA level.

The structure in POSCAR format:
```
AlSn2BiSe
1.0
5.9105 0.0000 0.0000
0.0000 5.5664 0.0000
0.0000 0.0000 5.9105
Se Bi Sn Al
1 1 2 1
direct
0.0000 0.5000 0.0000 Se
0.0000 0.0000 0.0000 Bi
0.5000 0.0000 0.0000 Sn
0.0000 0.0000 0.5000 Sn
0.5000 0.5000 0.5000 Al
```

## Properties
**M_tot**: 0.00 μB per formula unit
**Raw formation energy**: 373 kJ/mol of formula units
**Raw total energy**: -15.25 eV/cell
**Space-group type**: P4/mmm, No. 123
**Fermi-level density of states**: 4.1 states/eV/cell

=====

Below is a relaxed structure of Li2Sn2Pb3, with properties calculated at the PBE-GGA level.

The structure in POSCAR format:
```
Li2Sn2Pb3
1.0
1.9670 -2.7017 -4.3167
-2.2399 -1.7665 4.6546
-8.9459 2.7742 -0.3605
Li Sn Pb
2 2 3
direct
0.5825 0.2878 0.8703 Li
0.4175 0.7122 0.1297 Li
0.1703 0.5786 0.7489 Sn
0.8297 0.4214 0.2511 Sn
0.7310 0.8634 0.5944 Pb
0.2690 0.1366 0.4056 Pb
0.0000 0.0000 0.0000 Pb
```

## Properties
**M_tot**: 0.00 μB per formula unit
**Raw total energy**: -23.76 eV/cell
**Space-group type**: C2/m, No. 12
**Fermi-level density of states**: 2.7 states/eV/cell
**ΔE_f**: -2.625 kcal/mol of atoms

=====

Below is a relaxed structure of NdNiSn2Pt4, with properties calculated at the PBE-GGA level.

The structure in POSCAR format:
```
NdNiSn2Pt4
1.0
4.4716 0.0000 0.0000
2.2358 3.8725 0.0000
2.2358 1.2908 8.8133
Pt Ni Sn Nd
4 1 2 1
direct
0.1348 0.1348 0.5957 Pt
0.5986 0.5986 0.2042 Pt
0.4014 0.4014 0.7958 Pt
0.8652 0.8652 0.4043 Pt
0.5000 0.5000 0.5000 Ni
0.2390 0.2390 0.2829 Sn
0.7610 0.7610 0.7171 Sn
0.0000 0.0000 0.0000 Nd
```

## Properties
**M_tot**: 0.00 μB per formula unit
**Raw total energy**: -47.42 eV/cell
**Space-group type**: R-3m, No. 166
**Fermi-level density of states**: 3.7 states/eV/cell
**ΔE_f**: -13.567 kcal/mol of atoms

=====

Below is a relaxed structure of Sm8In2Rh3, with properties calculated at the PBE-GGA level.

The structure in POSCAR format:
```
Sm8In2Rh3
1.0
5.0159 -0.0001 -0.0001
0.0000 8.7493 -5.0188
-0.0003 -0.6494 8.9777
Rh In Sm
3 2 8
direct
0.5000 0.0000 0.0000 Rh
0.0000 0.2519 0.9997 Rh
0.0000 0.7481 0.0003 Rh
0.5000 0.2556 0.5104 In
0.5000 0.7444 0.4896 In
0.0000 0.6117 0.2229 Sm
0.0000 0.8856 0.7719 Sm
0.0000 0.3883 0.7771 Sm
0.5000 0.1334 0.7737 Sm
0.5000 0.6405 0.7745 Sm
0.5000 0.3595 0.2255 Sm
0.5000 0.8666 0.2263 Sm
0.0000 0.1144 0.2281 Sm
```

## Properties
**M_tot**: 0.00 μB per formula unit
**Raw total energy**: -70.53 eV/cell
**Space-group type**: P2/m, No. 10
**Fermi-level density of states**: 12.3 states/eV/cell
**ΔE_f**: -9.298 kcal/mol of atoms

=====

Below is a relaxed structure of Al2FeP, with properties calculated at the PBE-GGA level.

The structure in POSCAR format:
```
Al2FeP
1.0
2.7724 0.0000 0.0000
0.0000 2.7724 0.0000
0.0000 0.0000 7.0366
Al P Fe
2 1 1
direct
0.5000 0.5000 0.2863 Al
0.0000 0.0000 0.9863 Al
0.5000 0.5000 0.6973 P
0.0000 0.0000 0.5301 Fe
```

## Properties
**M_tot**: 0.00 μB per formula unit
**Raw total energy**: -22.20 eV/cell
**Space-group type**: P4mm, No. 99
**Fermi-level density of states**: 1.7 states/eV/cell
**ΔE_f**: -4.873 kcal/mol of atoms

=====

Below is a relaxed structure of RbFeAsSe2, with properties calculated at the PBE-GGA level.

The structure in POSCAR format:
```
RbFeAsSe2
1.0
5.1055 0.0000 0.0000
0.0000 5.1055 0.0000
0.0000 0.0000 4.6814
Rb As Se Fe
1 1 2 1
direct
0.5000 0.5000 0.5000 Rb
0.0000 0.0000 0.5000 As
0.5000 0.0000 0.0000 Se
0.0000 0.5000 0.0000 Se
0.0000 0.0000 0.0000 Fe
```

## Properties
**M_tot**: 2.88 μB per formula unit
**Raw formation energy**: -60 kJ/mol of formula units
**Raw total energy**: -21.67 eV/cell
**Space-group type**: P4/mmm, No. 123
**Fermi-level density of states**: 4.3 states/eV/cell

=====

Below is a relaxed structure of LiTi2GeH, with properties calculated at the PBE-GGA level.

The structure in POSCAR format:
```
LiTi2GeH
1.0
3.9715 0.0000 0.0000
0.0000 3.9715 0.0000
0.0000 0.0000 3.9360
Ti Li H Ge
2 1 1 1
direct
0.5000 0.0000 0.0000 Ti
0.0000 0.5000 0.0000 Ti
0.0000 0.0000 0.5000 Li
0.0000 0.0000 0.0000 H
0.5000 0.5000 0.5000 Ge
```

## Properties
**M_tot**: 0.00 μB per formula unit
**Raw total energy**: -27.76 eV/cell
**Space-group type**: P4/mmm, No. 123
**Fermi-level density of states**: 4.1 states/eV/cell